1.
Computed, not measured: a relaxed structure of CaB3Cl at the PBE level of DFT.

Results
For the formation energy from raw total energies, the calculation gives 1.899 eV/atom. The energy comes out at -2.878 eV per atom. The space group is Pm-3m (221). As for the total magnetization: 0.000 μB per atom. As for the excess energy over the best structure of this formula in the dataset: 0.00 eV/f.u.

Cell: 4.183 4.183 4.183 Å, 90.00 90.00 90.00°
Sites, in units of the cell vectors:
1 Ca 0.000 0.000 0.000
2 B 0.000 0.500 0.500
3 B 0.500 0.000 0.500
4 B 0.500 0.500 0.000
5 Cl 0.500 0.500 0.500



2.
Computed, not measured: a relaxed structure of CuHgSe2Br at the PBE level of DFT.

Results
For the formation energy from raw total energies, the calculation gives 0.315 eV/atom. The energy comes out at -2.293 eV per atom. The space group is P4/mmm (123). As for the total magnetization: 0.000 μB per atom. As for the excess energy over the best structure of this formula in the dataset: 0.00 eV/f.u.

Cell: 4.926 4.926 4.945 Å, 90.00 90.00 90.00°
Sites, in units of the cell vectors:
1 Cu 0.000 0.000 0.000
2 Hg 0.500 0.500 0.500
3 Se 0.000 0.500 0.000
4 Se 0.500 0.000 0.000
5 Br 0.000 0.000 0.500



3.
Computed, not measured: a relaxed structure of BiPtAu at the PBE level of DFT.

Results
The energy comes out at -4.415 eV per atom. The space group is P3m1 (156). As for the total magnetization: 0.000 μB per atom. The energy of formation from the pure elements is -0.05 eV/f.u. As for the excess energy over the best structure of this formula in the dataset: 0.30 eV/f.u.

Cell: 4.047 4.047 4.880 Å, 90.00 90.00 120.00°
Sites, in units of the cell vectors:
1 Bi 0.000 0.000 0.000
2 Pt 0.667 0.333 0.307
3 Au 0.333 0.667 0.600



4.
Computed, not measured: a relaxed structure of Ba4RhS at the PBE level of DFT.

Results
For the formation energy from raw total energies, the calculation gives -0.753 eV/atom. The energy comes out at -3.948 eV per atom. The space group is P-1 (2). As for the total magnetization: 0.000 μB per atom.

Cell: 4.556 8.027 8.041 Å, 100.14 106.39 90.04°
Sites, in units of the cell vectors:
1 Ba 0.109 0.356 0.219
2 Ba 0.387 0.128 0.774
3 Ba 0.613 0.872 0.226
4 Ba 0.891 0.644 0.781
5 Rh 0.000 0.000 0.000
6 S 0.500 0.500 0.000



5.
Computed, not measured: a relaxed structure of Ca2BeNi at the PBE level of DFT.

Results
The energy comes out at -2.896 eV per atom. The space group is R-3m (166). As for the total magnetization: 0.000 μB per atom. The energy of formation from the pure elements is 1.93 eV/f.u.

Cell: 7.681 7.681 7.681 Å, 29.61 29.61 29.61°
Sites, in units of the cell vectors:
1 Ca 0.243 0.243 0.243
2 Ca 0.757 0.757 0.757
3 Be 0.000 0.000 0.000
4 Ni 0.500 0.500 0.500



6.
Computed, not measured: a relaxed structure of LaTb2Dy3Se6 at the PBE level of DFT.

Results
For the formation energy from raw total energies, the calculation gives -1.798 eV/atom. The energy comes out at -5.873 eV per atom. The space group is C2/m (12). As for the total magnetization: 0.000 μB per atom.

Cell: 7.139 7.139 7.158 Å, 99.56 99.56 120.28°
Sites, in units of the cell vectors:
1 La 0.000 0.000 0.000
2 Tb 0.333 0.667 0.000
3 Tb 0.667 0.333 0.000
4 Dy 0.162 0.838 0.500
5 Dy 0.500 0.500 0.500
6 Dy 0.838 0.162 0.500
7 Se 0.086 0.430 0.259
8 Se 0.259 0.259 0.746
9 Se 0.430 0.086 0.259
10 Se 0.570 0.914 0.741
11 Se 0.741 0.741 0.254
12 Se 0.914 0.570 0.741



7.
Computed, not measured: a relaxed structure of Sc5Cu5O13 at the PBE level of DFT.

Results
For the formation energy from raw total energies, the calculation gives -2.136 eV/atom. The energy comes out at -7.205 eV per atom. The space group is P1 (1). As for the total magnetization: 0.002 μB per atom.

Cell: 5.815 5.995 8.775 Å, 102.68 109.26 98.88°
Sites, in units of the cell vectors:
1 Sc 0.000 0.000 0.000
2 Sc 0.187 0.949 0.388
3 Sc 0.408 0.042 0.808
4 Sc 0.600 0.999 0.203
5 Sc 0.793 0.950 0.595
6 Cu 0.194 0.503 0.890
7 Cu 0.395 0.490 0.330
8 Cu 0.607 0.487 0.704
9 Cu 0.798 0.496 0.089
10 Cu 0.992 0.488 0.487
11 O 0.068 0.542 0.292
12 O 0.080 0.175 0.832
13 O 0.115 0.824 0.582
14 O 0.279 0.832 0.963
15 O 0.310 0.159 0.240
16 O 0.498 0.812 0.354
17 O 0.517 0.154 0.620
18 O 0.521 0.442 0.886
19 O 0.676 0.822 0.778
20 O 0.694 0.535 0.525
21 O 0.720 0.173 0.047
22 O 0.867 0.821 0.149
23 O 0.922 0.152 0.435



8.
Computed, not measured: a relaxed structure of CaCuPt2Se at the PBE level of DFT.

Results
For the formation energy from raw total energies, the calculation gives 0.236 eV/atom. The energy comes out at -4.097 eV per atom. The space group is P4/mmm (123). As for the total magnetization: 0.000 μB per atom.

Cell: 4.764 4.764 5.244 Å, 90.00 90.00 90.00°
Sites, in units of the cell vectors:
1 Ca 0.000 0.000 0.000
2 Cu 0.500 0.500 0.000
3 Pt 0.000 0.500 0.500
4 Pt 0.500 0.000 0.500
5 Se 0.000 0.000 0.500



9.
Computed, not measured: a relaxed structure of ErMg4Zr at the PBE level of DFT.

Results
The energy comes out at -3.220 eV per atom. The space group is P2/m (10). As for the total magnetization: 0.000 μB per atom. The energy of formation from the pure elements is 0.17 eV/f.u. As for the excess energy over the best structure of this formula in the dataset: 0.00 eV/f.u.

Cell: 3.156 5.115 8.836 Å, 90.00 90.05 90.00°
Sites, in units of the cell vectors:
1 Er 0.000 0.000 0.000
2 Mg 0.498 0.500 0.826
3 Mg 0.499 0.000 0.660
4 Mg 0.501 0.000 0.340
5 Mg 0.502 0.500 0.174
6 Zr 0.000 0.500 0.500



10.
Computed, not measured: a relaxed structure of Dy3Ho6Er2 at the PBE level of DFT.

Results
The energy comes out at -4.291 eV per atom. The space group is I4/mmm (139). As for the total magnetization: 0.000 μB per atom. The energy of formation from the pure elements is 3.19 eV/f.u. As for the excess energy over the best structure of this formula in the dataset: 2.96 eV/f.u.

Cell: 16.771 16.771 16.771 Å, 163.96 163.96 22.76°
Sites, in units of the cell vectors:
1 Dy 0.000 0.000 0.000
2 Dy 0.200 0.200 0.000
3 Dy 0.800 0.800 0.000
4 Ho 0.121 0.621 0.500
5 Ho 0.304 0.304 0.000
6 Ho 0.379 0.879 0.500
7 Ho 0.621 0.121 0.500
8 Ho 0.696 0.696 0.000
9 Ho 0.879 0.379 0.500
10 Er 0.454 0.454 0.000
11 Er 0.546 0.546 0.000



11.
Computed, not measured: a relaxed structure of NaPICl2 at the PBE level of DFT.

Results
For the formation energy from raw total energies, the calculation gives 0.168 eV/atom. The energy comes out at -2.226 eV per atom. The space group is P4/mmm (123). As for the total magnetization: 0.517 μB per atom. As for the excess energy over the best structure of this formula in the dataset: 0.59 eV/f.u.

Cell: 4.818 4.818 7.683 Å, 90.00 90.00 90.00°
Sites, in units of the cell vectors:
1 Na 0.000 0.000 0.000
2 P 0.000 0.000 0.500
3 I 0.500 0.500 0.500
4 Cl 0.000 0.500 0.000
5 Cl 0.500 0.000 0.000



12.
Computed, not measured: a relaxed structure of LiCa2HPt at the PBE level of DFT.

Results
The energy comes out at -3.610 eV per atom. The space group is P4/mmm (123). As for the total magnetization: 0.000 μB per atom. As for the excess energy over the best structure of this formula in the dataset: 0.00 eV/f.u.

Cell: 4.803 4.803 3.921 Å, 90.00 90.00 90.00°
Sites, in units of the cell vectors:
1 Li 0.000 0.000 0.000
2 Ca 0.000 0.500 0.500
3 Ca 0.500 0.000 0.500
4 H 0.000 0.000 0.500
5 Pt 0.500 0.500 0.000



Number 5 is which compound? Ca2BeNi



Look up the energy of the tenth one. -4.291 eV per atom



What is the energy in the sixth record? -5.873 eV per atom